Y2GaAu2: optimized geometry, PBE.

Structure (POSCAR):
```
Y2GaAu2
1.0
-2.7433 2.7433 4.1919
2.7433 -2.7433 4.1919
2.7433 2.7433 -4.1919
Y Ga Au
2 1 2
Cartesian
2.7433 0.0000 2.0959
0.0000 2.7433 2.0959
0.0000 0.0000 0.0000
0.0000 0.0000 2.9128
0.0000 0.0000 5.4710
```

Results
SG: No. 139
Total energy, eV/atom: -4.94